DFT (GGA-PBE) results for an optimized crystal structure of ZrPCCl2.

The structure belongs to space group P4/mmm (No. 123); the cell edges are 4.961, 4.961 and 5.228 Å and the angles 90.00°, 90.00° and 90.00°. The distinct sites, in fractional coordinates, are Zr at (0.000, 0.000, 0.000), P at (0.000, 0.000, 0.500), C at (0.500, 0.500, 0.500) and Cl at (0.000, 0.500, 0.000).

The formation energy from raw total energies is 0.771 eV per atom. The polymorph energy (0 for the lowest one) is 0.044 eV per atom.

DFT (GGA-PBE) results for an optimized crystal structure of Dy2UC2.

The structure belongs to space group Ibam (No. 72); the cell edges are 6.796, 9.635 and 5.306 Å and the angles 90.00°, 90.00° and 90.00°. The distinct sites, in fractional coordinates, are Dy at (0.129, 0.158, 0.000), U at (0.000, 0.500, 0.250) and C at (0.241, 0.102, 0.500).

For the formation energy, the calculation gives -0.021 eV per atom.

DFT (GGA-PBE) results for an optimized crystal structure of RbBeTlPd.

The structure belongs to space group Pmm2 (No. 25); the cell edges are 3.333, 3.382 and 8.424 Å and the angles 90.00°, 90.00° and 90.00°. The distinct sites, in fractional coordinates, are Rb at (0.000, 0.000, 0.000), Be at (0.500, 0.000, 0.368), Tl at (0.500, 0.500, 0.646) and Pd at (0.000, 0.500, 0.357).

The polymorph energy (0 for the lowest one) is 0.019 eV per atom. For the formation energy, the calculation gives 0.037 eV per atom.

DFT (GGA-PBE) results for an optimized crystal structure of HgH3Pd.

The structure belongs to space group Pm-3m (No. 221); the cell edges are 3.700, 3.700 and 3.700 Å and the angles 90.00°, 90.00° and 90.00°. The distinct sites, in fractional coordinates, are Hg at (0.000, 0.000, 0.000), H at (0.000, 0.500, 0.500) and Pd at (0.500, 0.500, 0.500).

The polymorph energy (0 for the lowest one) is 0.000 eV per atom.

Number 1: calculated total energy -4.604 eV/atom, spin magnetization 0.991 μB per cell. Number 2: calculated total energy -7.809 eV/atom, spin magnetization 3.038 μB per cell. Number 3: calculated total energy -3.026 eV/atom, spin magnetization 0.000 μB per cell. Number 4: calculated total energy -2.785 eV/atom, spin magnetization 0.000 μB per cell.